Entry 1:
Compound: CuSiMoAu
Source: OQMD
Functional: GGA-PBE
Structure: optimized geometry

Lattice parameters (Å, degrees): 6.2185 6.2185 6.2185 90.00 90.00 90.00
Last column: nearest neighbours and their distance in Å.
Sites, in units of the cell vectors:
Cu 0.0000 0.0000 0.0000  4 Si 2.69, 4 Au 2.69
Cu 0.0000 0.5000 0.5000  4 Si 2.69, 4 Au 2.69
Cu 0.5000 0.0000 0.5000  4 Si 2.69, 4 Au 2.69
Cu 0.5000 0.5000 0.0000  4 Si 2.69, 4 Au 2.69
Si 0.2500 0.2500 0.7500  4 Mo 2.69, 4 Cu 2.69
Si 0.2500 0.7500 0.2500  4 Mo 2.69, 4 Cu 2.69
Si 0.7500 0.2500 0.2500  4 Mo 2.69, 4 Cu 2.69
Si 0.7500 0.7500 0.7500  4 Mo 2.69, 4 Cu 2.69
Mo 0.0000 0.0000 0.5000  4 Si 2.69, 4 Au 2.69
Mo 0.0000 0.5000 0.0000  4 Si 2.69, 4 Au 2.69
Mo 0.5000 0.0000 0.0000  4 Si 2.69, 4 Au 2.69
Mo 0.5000 0.5000 0.5000  4 Si 2.69, 4 Au 2.69
Au 0.2500 0.2500 0.2500  4 Cu 2.69, 4 Mo 2.69
Au 0.2500 0.7500 0.7500  4 Cu 2.69, 4 Mo 2.69
Au 0.7500 0.2500 0.7500  4 Cu 2.69, 4 Mo 2.69
Au 0.7500 0.7500 0.2500  4 Cu 2.69, 4 Mo 2.69

Calculated values
**Energy above the lowest structure with this stoichiometry**: 0.000 kcal/mol of atoms
**Spin magnetization**: 1.01 μB/f.u.
**Raw total energy**: -89.08 eV per cell



Entry 2:
Compound: CsDy2CuTeS3
Source: OQMD
Functional: GGA-PBE
Structure: optimized geometry

Lattice parameters (Å, degrees): 7.4910 7.4910 14.3443 90.00 90.00 148.08
Last column: nearest neighbours and their distance in Å.
Sites, in units of the cell vectors:
Cs 0.1288 0.8712 0.7500  4 S 3.44, 2 Te 3.49, 2 Cu 3.52
Cs 0.8712 0.1288 0.2500  4 S 3.44, 2 Te 3.49, 2 Cu 3.52
Dy 0.3666 0.6334 0.5502  5 S 2.75-2.91, 1 Te 3.02
Dy 0.3666 0.6334 0.9498  5 S 2.75-2.91, 1 Te 3.02
Dy 0.6334 0.3666 0.0502  5 S 2.75-2.91, 1 Te 3.02
Dy 0.6334 0.3666 0.4498  5 S 2.75-2.91, 1 Te 3.02
Cu 0.1728 0.8272 0.2500  2 S 2.39, 2 Te 2.56
Cu 0.8272 0.1728 0.7500  2 S 2.39, 2 Te 2.56
Te 0.4331 0.5669 0.7500  2 Cu 2.56
Te 0.5669 0.4331 0.2500  2 Cu 2.56
S 0.0000 0.0000 0.0000  4 Dy 2.91
S 0.0000 0.0000 0.5000  4 Dy 2.91
S 0.2488 0.7512 0.1019  1 Cu 2.39
S 0.2488 0.7512 0.3981  1 Cu 2.39
S 0.7512 0.2488 0.6019  1 Cu 2.39
S 0.7512 0.2488 0.8981  1 Cu 2.39

Calculated values
**Energy above the lowest structure with this stoichiometry**: 1.570 kcal/mol of atoms
**Spin magnetization**: 0.00 μB/f.u.
**Raw total energy**: -82.13 eV per cell



Entry 3:
Compound: KW8
Source: OQMD
Functional: GGA-PBE
Structure: optimized geometry

Lattice parameters (Å, degrees): 12.6978 12.6488 5.4476 78.09 77.09 24.82
Last column: nearest neighbours and their distance in Å.
Sites, in units of the cell vectors:
K 0.1250 0.1250 0.1250  12 W 3.18-3.38
K 0.8750 0.8750 0.8750  12 W 3.18-3.38
W 0.0853 0.5772 0.4187  5 W 2.55-2.81
W 0.1590 0.3467 0.7659  5 W 2.55-2.76
W 0.2285 0.7659 0.3467  5 W 2.55-2.76
W 0.2341 0.7715 0.8410  5 W 2.55-2.76
W 0.3467 0.1590 0.2285  5 W 2.55-2.76
W 0.4187 0.4188 0.0853  5 W 2.55-2.81
W 0.4188 0.4187 0.5772  5 W 2.55-2.81
W 0.4228 0.9148 0.5812  5 W 2.55-2.81
W 0.5772 0.0853 0.4188  5 W 2.55-2.81
W 0.5812 0.5813 0.4228  5 W 2.55-2.81
W 0.5813 0.5812 0.9148  5 W 2.55-2.81
W 0.6533 0.8410 0.7715  5 W 2.55-2.76
W 0.7659 0.2285 0.1590  5 W 2.55-2.76
W 0.7715 0.2341 0.6533  5 W 2.55-2.76
W 0.8410 0.6533 0.2341  5 W 2.55-2.76
W 0.9148 0.4228 0.5813  5 W 2.55-2.81

Calculated values
**Spin magnetization**: 0.00 μB/f.u.
**Raw total energy**: -189.46 eV per cell



Entry 4:
Compound: SmB2Ir
Source: OQMD
Functional: GGA-PBE
Structure: optimized geometry

Lattice parameters (Å, degrees): 7.0563 3.3240 5.2879 90.00 113.16 90.00
Last column: nearest neighbours and their distance in Å.
Sites, in units of the cell vectors:
Sm 0.0000 0.0000 0.0000  6 B 2.84-2.85, 4 Ir 3.12
Sm 0.5000 0.5000 0.0000  6 B 2.84-2.85, 4 Ir 3.12
B 0.2261 0.0000 0.5804  2 B 1.96, 1 Ir 2.14
B 0.2739 0.5000 0.4196  2 B 1.96, 1 Ir 2.14
B 0.7261 0.5000 0.5804  2 B 1.96, 1 Ir 2.14
B 0.7739 0.0000 0.4196  2 B 1.96, 1 Ir 2.14
Ir 0.0000 0.5000 0.5000  6 B 2.14-2.23
Ir 0.5000 0.0000 0.5000  6 B 2.14-2.23

Calculated values
**Spin magnetization**: 0.01 μB/f.u.
**Raw total energy**: -57.46 eV per cell



Entry 5:
Compound: Gd11In9Pd4
Source: OQMD
Functional: GGA-PBE
Structure: optimized geometry

Lattice parameters (Å, degrees): 13.2889 13.2889 3.7204 90.00 90.00 112.74
Last column: nearest neighbours and their distance in Å.
Sites, in units of the cell vectors:
Gd 0.0000 0.0000 0.0000  8 In 3.24, 2 Gd 3.56
Gd 0.0722 0.4142 0.0000  2 Pd 2.87
Gd 0.1611 0.8389 0.0000  8 In 3.29-3.46, 3 Gd 3.56-3.59
Gd 0.3083 0.3083 0.0000  4 Pd 2.96
Gd 0.3720 0.6280 0.0000  4 Pd 2.97
Gd 0.4142 0.0722 0.0000  2 Pd 2.87
Gd 0.5858 0.9278 0.0000  2 Pd 2.87
Gd 0.6280 0.3720 0.0000  4 Pd 2.97
Gd 0.6917 0.6917 0.0000  4 Pd 2.96
Gd 0.8389 0.1611 0.0000  8 In 3.29-3.46, 3 Gd 3.56-3.59
Gd 0.9278 0.5858 0.0000  2 Pd 2.87
In 0.0734 0.2163 0.5000  1 Pd 3.06, 1 In 3.16, 4 Gd 3.23-3.24
In 0.1578 0.6330 0.5000  1 In 3.08, 1 Pd 3.11, 8 Gd 3.26-3.42
In 0.2163 0.0734 0.5000  1 Pd 3.06, 1 In 3.16, 4 Gd 3.23-3.24
In 0.3670 0.8422 0.5000  1 In 3.08, 1 Pd 3.11, 8 Gd 3.26-3.42
In 0.5000 0.5000 0.5000  4 Pd 3.16, 8 Gd 3.38-3.39
In 0.6330 0.1578 0.5000  1 In 3.08, 1 Pd 3.11, 8 Gd 3.26-3.42
In 0.7837 0.9266 0.5000  1 Pd 3.06, 1 In 3.16, 4 Gd 3.23-3.24
In 0.8422 0.3670 0.5000  1 In 3.08, 1 Pd 3.11, 8 Gd 3.26-3.42
In 0.9266 0.7837 0.5000  1 Pd 3.06, 1 In 3.16, 4 Gd 3.23-3.24
Pd 0.2469 0.4487 0.5000  6 Gd 2.87-2.97, 3 In 3.06-3.16
Pd 0.4487 0.2469 0.5000  6 Gd 2.87-2.97, 3 In 3.06-3.16
Pd 0.5513 0.7531 0.5000  6 Gd 2.87-2.97, 3 In 3.06-3.16
Pd 0.7531 0.5513 0.5000  6 Gd 2.87-2.97, 3 In 3.06-3.16

Calculated values
**Spin magnetization**: 0.08 μB/f.u.
**Raw total energy**: -112.81 eV per cell



Entry 6:
Compound: TmP2
Source: OQMD
Functional: GGA-PBE
Structure: optimized geometry

Lattice parameters (Å, degrees): 9.3602 3.4739 9.0016 90.00 120.97 90.00
Last column: nearest neighbours and their distance in Å.
Sites, in units of the cell vectors:
Tm 0.0660 0.0000 0.2332  7 P 2.75-3.07
Tm 0.4340 0.5000 0.7668  7 P 2.75-3.07
Tm 0.5660 0.5000 0.2332  7 P 2.75-3.07
Tm 0.9340 0.0000 0.7668  7 P 2.75-3.07
P 0.1096 0.5000 0.4933  1 P 2.12
P 0.1750 0.5000 0.0271  2 P 2.44
P 0.3250 0.0000 0.9729  2 P 2.44
P 0.3904 0.0000 0.5067  1 P 2.12
P 0.6096 0.0000 0.4933  1 P 2.12
P 0.6750 0.0000 0.0271  2 P 2.44
P 0.8250 0.5000 0.9729  2 P 2.44
P 0.8904 0.5000 0.5067  1 P 2.12

Calculated values
**Spin magnetization**: 0.01 μB/f.u.
**Raw total energy**: -68.94 eV per cell



Entry 7:
Compound: PmDyY
Source: OQMD
Functional: GGA-PBE
Structure: optimized geometry

Lattice parameters (Å, degrees): 7.7555 7.7555 7.7555 90.00 90.00 90.00
Last column: nearest neighbours and their distance in Å.
Sites, in units of the cell vectors:
Pm 0.0000 0.0000 0.0000  4 Y 3.36
Pm 0.0000 0.5000 0.5000  4 Y 3.36
Pm 0.5000 0.0000 0.5000  4 Y 3.36
Pm 0.5000 0.5000 0.0000  4 Y 3.36
Dy 0.0000 0.0000 0.5000  4 Y 3.36
Dy 0.0000 0.5000 0.0000  4 Y 3.36
Dy 0.5000 0.0000 0.0000  4 Y 3.36
Dy 0.5000 0.5000 0.5000  4 Y 3.36
Y 0.2500 0.2500 0.7500  4 Dy 3.36, 4 Pm 3.36
Y 0.2500 0.7500 0.2500  4 Dy 3.36, 4 Pm 3.36
Y 0.7500 0.2500 0.2500  4 Dy 3.36, 4 Pm 3.36
Y 0.7500 0.7500 0.7500  4 Dy 3.36, 4 Pm 3.36

Calculated values
**Energy above the lowest structure with this stoichiometry**: 0.000 kcal/mol of atoms
**Spin magnetization**: 0.02 μB/f.u.
**Calculated formation energy**: 0.746 eV per atom
**Raw total energy**: -54.29 eV per cell



Entry 8:
Compound: Ta2GaPt
Source: OQMD
Functional: GGA-PBE
Structure: optimized geometry

Lattice parameters (Å, degrees): 6.4662 6.4662 6.4662 90.00 90.00 90.00
Last column: nearest neighbours and their distance in Å.
Sites, in units of the cell vectors:
Ta 0.0000 0.0000 0.0000  4 Ta 2.80, 4 Pt 2.80
Ta 0.0000 0.5000 0.5000  4 Ta 2.80, 4 Pt 2.80
Ta 0.2500 0.2500 0.2500  4 Ta 2.80, 4 Ga 2.80
Ta 0.2500 0.7500 0.7500  4 Ta 2.80, 4 Ga 2.80
Ta 0.5000 0.0000 0.5000  4 Ta 2.80, 4 Pt 2.80
Ta 0.5000 0.5000 0.0000  4 Ta 2.80, 4 Pt 2.80
Ta 0.7500 0.2500 0.7500  4 Ta 2.80, 4 Ga 2.80
Ta 0.7500 0.7500 0.2500  4 Ta 2.80, 4 Ga 2.80
Ga 0.0000 0.0000 0.5000  4 Ta 2.80, 4 Pt 2.80
Ga 0.0000 0.5000 0.0000  4 Ta 2.80, 4 Pt 2.80
Ga 0.5000 0.0000 0.0000  4 Ta 2.80, 4 Pt 2.80
Ga 0.5000 0.5000 0.5000  4 Ta 2.80, 4 Pt 2.80
Pt 0.2500 0.2500 0.7500  4 Ta 2.80, 4 Ga 2.80
Pt 0.2500 0.7500 0.2500  4 Ta 2.80, 4 Ga 2.80
Pt 0.7500 0.2500 0.2500  4 Ta 2.80, 4 Ga 2.80
Pt 0.7500 0.7500 0.7500  4 Ta 2.80, 4 Ga 2.80

Calculated values
**Spin magnetization**: 0.42 μB/f.u.
**Raw total energy**: -131.69 eV per cell